(1)
A relaxed structure of Dy4Tl2Hg, computed with PBE-GGA.

Summary:
The calculation puts the formation energy at -254 meV/atom. The total magnetic moment is 0.00 μB per formula unit. As for the space-group type: R-3m, No. 166.

Cell: 9.0884 9.0884 9.0884 Å, 33.63 33.63 33.63°
Atoms (fractional coordinates):
Dy 0.1225 0.1225 0.1225
Dy 0.3738 0.3738 0.3738
Dy 0.6262 0.6262 0.6262
Dy 0.8775 0.8775 0.8775
Tl 0.2522 0.2522 0.2522
Tl 0.7478 0.7478 0.7478
Hg 0.5000 0.5000 0.5000


(2)
A relaxed structure of Sr2HfNbPb, computed with PBE-GGA.

Summary:
The calculation puts the formation energy at 972 meV/atom. The total magnetic moment is 0.94 μB per formula unit. As for the space-group type: P4/mmm, No. 123.

Cell: 6.2669 6.2669 4.8851 Å, 90.00 90.00 90.00°
Atoms (fractional coordinates):
Sr 0.0000 0.5000 0.0000
Sr 0.5000 0.0000 0.0000
Hf 0.0000 0.0000 0.0000
Nb 0.0000 0.0000 0.5000
Pb 0.5000 0.5000 0.5000


(3)
A relaxed structure of CeCd2Ag3, computed with PBE-GGA.

Summary:
The calculation puts the formation energy at -63 meV/atom. The total magnetic moment is 1.18 μB per formula unit. As for the space-group type: Cmcm, No. 63.

Cell: 6.9920 6.9920 5.6606 Å, 90.00 90.00 92.97°
Atoms (fractional coordinates):
Ce 0.2376 0.7624 0.7500
Ce 0.7624 0.2376 0.2500
Cd 0.2379 0.2379 0.0000
Cd 0.2379 0.2379 0.5000
Cd 0.7621 0.7621 0.0000
Cd 0.7621 0.7621 0.5000
Ag 0.0635 0.5931 0.2500
Ag 0.4069 0.9365 0.2500
Ag 0.4530 0.5470 0.2500
Ag 0.5470 0.4530 0.7500
Ag 0.5931 0.0635 0.7500
Ag 0.9365 0.4069 0.7500


(4)
A relaxed structure of Mg5Cu4Rh, computed with PBE-GGA.

Summary:
The calculation puts the formation energy at -187 meV/atom. The total magnetic moment is 0.00 μB per formula unit. As for the space-group type: P4/mmm, No. 123.

Cell: 3.1849 3.1849 15.3589 Å, 90.00 90.00 90.00°
Atoms (fractional coordinates):
Mg 0.0000 0.0000 0.0000
Mg 0.0000 0.0000 0.2006
Mg 0.0000 0.0000 0.4043
Mg 0.0000 0.0000 0.5957
Mg 0.0000 0.0000 0.7994
Cu 0.5000 0.5000 0.1009
Cu 0.5000 0.5000 0.3021
Cu 0.5000 0.5000 0.6979
Cu 0.5000 0.5000 0.8991
Rh 0.5000 0.5000 0.5000


(5)
A relaxed structure of Ho12Er7Sc, computed with PBE-GGA.

Summary:
The calculation puts the formation energy at 316 meV/atom. The total magnetic moment is 0.00 μB per formula unit. As for the space-group type: R-3, No. 148.

Cell: 10.8706 10.8706 10.8706 Å, 116.05 116.05 116.05°
Atoms (fractional coordinates):
Ho 0.0902 0.3006 0.5110
Ho 0.1997 0.7457 0.2659
Ho 0.2543 0.7341 0.8003
Ho 0.2659 0.1997 0.7457
Ho 0.3006 0.5110 0.0902
Ho 0.4890 0.9098 0.6994
Ho 0.5110 0.0902 0.3006
Ho 0.6994 0.4890 0.9098
Ho 0.7341 0.8003 0.2543
Ho 0.7457 0.2659 0.1997
Ho 0.8003 0.2543 0.7341
Ho 0.9098 0.6994 0.4890
Er 0.0563 0.3538 0.1879
Er 0.1879 0.0563 0.3538
Er 0.3538 0.1879 0.0563
Er 0.5000 0.5000 0.5000
Er 0.6462 0.8121 0.9437
Er 0.8121 0.9437 0.6462
Er 0.9437 0.6462 0.8121
Sc 0.0000 0.0000 0.0000


(6)
A relaxed structure of Pm3Y3Au4, computed with PBE-GGA.

Summary:
The calculation puts the formation energy at -678 meV/atom. The total magnetic moment is 0.00 μB per formula unit. As for the space-group type: Amm2, No. 38.

Cell: 3.8626 8.2874 8.2874 Å, 90.97 90.00 90.00°
Atoms (fractional coordinates):
Pm 0.0000 0.0000 0.0000
Pm 0.0000 0.1771 0.5073
Pm 0.0000 0.5073 0.1771
Y 0.0000 0.6715 0.6715
Y 0.5000 0.3395 0.8421
Y 0.5000 0.8421 0.3395
Au 0.5000 0.2084 0.2084
Au 0.5000 0.4734 0.4734
Au 0.5000 0.7038 0.9641
Au 0.5000 0.9641 0.7038


(7)
A relaxed structure of Dy4SiHS2, computed with PBE-GGA.

Summary:
As for the total energy: -5.680 eV per atom. The total magnetic moment is 0.00 μB per formula unit. As for the space-group type: Fmm2, No. 42.

Cell: 6.8108 5.5329 6.7971 Å, 66.14 47.98 65.88°
Atoms (fractional coordinates):
Dy 0.2468 0.7532 0.2468
Dy 0.5047 0.9758 0.4953
Dy 0.7532 0.2468 0.7532
Dy 0.9758 0.5047 0.0242
Si 0.0050 0.0050 0.9950
H 0.5391 0.5391 0.4609
S 0.2493 0.2493 0.2507
S 0.7493 0.7493 0.7507


(8)
A relaxed structure of Li2TaW, computed with PBE-GGA.

Summary:
The calculation puts the formation energy at 450 meV/atom. The total magnetic moment is 0.00 μB per formula unit. As for the space-group type: Cmmm, No. 65.

Cell: 2.6516 2.6516 10.1520 Å, 90.00 90.00 111.52°
Atoms (fractional coordinates):
Li 0.0000 0.0000 0.2415
Li 0.0000 0.0000 0.7585
Ta 0.5000 0.5000 0.5000
W 0.5000 0.5000 0.0000